No. 1
This record from Alexandria via LeMat-Bulk describes a relaxed CePmSb2Pd2 crystal. The functional is PBE-GGA.

a = 4.6125 Å, b = 4.6125 Å, c = 7.9219 Å
α = 90.00°, β = 90.00°, γ = 120.00°
Space group P-3m1 (No. 164)
Asymmetric unit:
Ce  0.0000  0.0000  0.0000 x1
Pm  0.0000  0.0000  0.5000 x1
Sb  0.3333  0.6667  0.2460 x2
Pd  0.3333  0.6667  0.7400 x2

## Properties
magnetic moment = 0.1806 μB/atom
energy relative to the elements, uncorrected = -1.01 eV per atom
DOS(E_F) = 8.1 states/eV/f.u.

No. 2
This record from Alexandria via LeMat-Bulk describes a relaxed CePmSbPd crystal. The functional is PBE-GGA.

a = 7.483 Å, b = 7.483 Å, c = 7.483 Å
α = 90.00°, β = 90.00°, γ = 90.00°
Space group F-43m (No. 216)
Asymmetric unit:
Ce  0.000  0.000  0.000 x4
Pm  0.000  0.000  0.500 x4
Sb  0.250  0.250  0.250 x4
Pd  0.250  0.250  0.750 x4

## Properties
magnetic moment = 0.5077 μB/atom
energy relative to the elements, uncorrected = -0.72 eV per atom
DOS(E_F) = 9.9 states/eV/f.u.

No. 3
This record from Alexandria via LeMat-Bulk describes a relaxed Ce2PmSi2Pd2 crystal. The functional is PBE-GGA.

a = 4.3154 Å, b = 4.3154 Å, c = 27.2354 Å
α = 90.00°, β = 90.00°, γ = 120.00°
Space group R-3m (No. 166, hexagonal axes)
Asymmetric unit:
Ce  0.0000  0.0000  0.1393 x6
Pm  0.0000  0.0000  0.0000 x3
Si  0.0000  0.0000  0.2584 x6
Pd  0.0000  0.0000  0.4063 x6

## Properties
magnetic moment = 0.1293 μB/atom
energy relative to the elements, uncorrected = -0.79 eV per atom
DOS(E_F) = 8.3 states/eV/f.u.

No. 4
This record from Alexandria via LeMat-Bulk describes a relaxed CePmSiPd crystal. The functional is PBE-GGA.

a = 7.225 Å, b = 7.225 Å, c = 7.225 Å
α = 90.00°, β = 90.00°, γ = 90.00°
Space group F-43m (No. 216)
Asymmetric unit:
Ce  0.000  0.000  0.000 x4
Pm  0.000  0.000  0.500 x4
Si  0.250  0.250  0.250 x4
Pd  0.250  0.250  0.750 x4

## Properties
magnetic moment = 0.2941 μB/atom
energy relative to the elements, uncorrected = -0.56 eV per atom
DOS(E_F) = 8.7 states/eV/f.u.

No. 5
This record from Alexandria via LeMat-Bulk describes a relaxed Ce2PmSn2Pd2 crystal. The functional is PBE-GGA.

a = 4.6592 Å, b = 4.6592 Å, c = 26.8128 Å
α = 90.00°, β = 90.00°, γ = 120.00°
Space group R-3m (No. 166, hexagonal axes)
Asymmetric unit:
Ce  0.0000  0.0000  0.1426 x6
Pm  0.0000  0.0000  0.0000 x3
Sn  0.0000  0.0000  0.2654 x6
Pd  0.0000  0.0000  0.4360 x6

## Properties
magnetic moment = 0.1291 μB/atom
DOS(E_F) = 8.1 states/eV/f.u.
energy of formation = -0.73 eV per atom

No. 6
This record from Alexandria via LeMat-Bulk describes a relaxed CePmZnPd crystal. The functional is PBE-GGA.

a = 7.247 Å, b = 7.247 Å, c = 7.247 Å
α = 90.00°, β = 90.00°, γ = 90.00°
Space group F-43m (No. 216)
Asymmetric unit:
Ce  0.000  0.000  0.000 x4
Pm  0.000  0.000  0.500 x4
Zn  0.250  0.250  0.750 x4
Pd  0.250  0.250  0.250 x4

## Properties
magnetic moment = 0.2010 μB/atom
DOS(E_F) = 8.0 states/eV/f.u.
energy of formation = -0.43 eV per atom

No. 7
This record from Alexandria via LeMat-Bulk describes a relaxed CePrPd2 crystal. The functional is PBE-GGA.

a = 7.233 Å, b = 7.233 Å, c = 7.233 Å
α = 90.00°, β = 90.00°, γ = 90.00°
Space group Fm-3m (No. 225)
Asymmetric unit:
Ce  0.000  0.000  0.000 x4
Pr  0.000  0.000  0.500 x4
Pd  0.250  0.250  0.250 x8

## Properties
magnetic moment = 0.2466 μB/atom
DOS(E_F) = 9.1 states/eV/f.u.
distance to the lowest polymorph of the same formula = 0.05 eV/f.u.
energy of formation = -0.65 eV per atom

No. 8
This record from Alexandria via LeMat-Bulk describes a relaxed Ce4PrPd15 crystal. The functional is PBE-GGA.

a = 4.174 Å, b = 4.174 Å, c = 20.817 Å
α = 90.00°, β = 90.00°, γ = 90.00°
Space group P4/mmm (No. 123)
Asymmetric unit:
Ce  0.000  0.000  0.100 x2
Ce  0.000  0.000  0.300 x2
Pr  0.000  0.000  0.500 x1
Pd  0.000  0.500  0.000 x2
Pd  0.000  0.500  0.199 x4
Pd  0.000  0.500  0.396 x4
Pd  0.500  0.500  0.099 x2
Pd  0.500  0.500  0.298 x2
Pd  0.500  0.500  0.500 x1

## Properties
magnetic moment = 0.0782 μB/atom
DOS(E_F) = 18.4 states/eV/f.u.
energy of formation = -0.82 eV per atom

No. 9
This record from Alexandria via LeMat-Bulk describes a relaxed CePrPd2 crystal. The functional is PBE-GGA.

a = 4.1782 Å, b = 4.1782 Å, c = 20.7173 Å
α = 90.00°, β = 90.00°, γ = 120.00°
Space group R-3m (No. 166, hexagonal axes)
Asymmetric unit:
Ce  0.0000  0.0000  0.0000 x3
Pr  0.0000  0.0000  0.5000 x3
Pd  0.0000  0.0000  0.2543 x6

## Properties
magnetic moment = 0.1403 μB/atom
DOS(E_F) = 6.4 states/eV/f.u.
distance to the lowest polymorph of the same formula = 0.12 eV/f.u.
energy of formation = -0.63 eV per atom

No. 10
This record from Alexandria via LeMat-Bulk describes a relaxed Ce2Pr2Pd15 crystal. The functional is PBE-GGA.

a = 9.2950 Å, b = 9.2950 Å, c = 14.1944 Å
α = 90.00°, β = 90.00°, γ = 120.00°
Space group R-3m (No. 166, hexagonal axes)
Asymmetric unit:
Ce  0.0000  0.0000  0.1043 x6
Pr  0.0000  0.0000  0.3615 x6
Pd  0.0000  0.3130  0.0000 x18
Pd  0.0000  0.5000  0.5000 x9
Pd  0.0045  0.5023  0.1570 x18

## Properties
magnetic moment = 0.0515 μB/atom
DOS(E_F) = 16.4 states/eV/f.u.
energy of formation = -0.56 eV per atom

No. 11
This record from Alexandria via LeMat-Bulk describes a relaxed CePr2Pd crystal. The functional is PBE-GGA.

a = 3.8438 Å, b = 3.8438 Å, c = 29.4075 Å
α = 90.00°, β = 90.00°, γ = 120.00°
Space group R3m (No. 160, hexagonal axes)
Asymmetric unit:
Ce  0.0000  0.0000  0.0000 x3
Pr  0.0000  0.0000  0.5663 x3
Pr  0.0000  0.0000  0.7677 x3
Pd  0.0000  0.0000  0.1669 x3

## Properties
magnetic moment = 0.4071 μB/atom
DOS(E_F) = 8.3 states/eV/f.u.
distance to the lowest polymorph of the same formula = 0.47 eV/f.u.
energy of formation = -0.15 eV per atom

No. 12
This record from Alexandria via LeMat-Bulk describes a relaxed CePrPd6 crystal. The functional is PBE-GGA.

a = 4.183 Å, b = 4.183 Å, c = 8.363 Å
α = 90.00°, β = 90.00°, γ = 90.00°
Space group P4/mmm (No. 123)
Asymmetric unit:
Ce  0.000  0.000  0.000 x1
Pr  0.000  0.000  0.500 x1
Pd  0.000  0.500  0.241 x4
Pd  0.500  0.500  0.000 x1
Pd  0.500  0.500  0.500 x1

## Properties
magnetic moment = 0.0231 μB/atom
DOS(E_F) = 2.0 states/eV/f.u.
energy of formation = -0.81 eV per atom

No. 13
This record from Alexandria via LeMat-Bulk describes a relaxed CePrPd crystal. The functional is PBE-GGA.

a = 12.030 Å, b = 4.341 Å, c = 7.044 Å
α = 90.00°, β = 121.00°, γ = 90.00°
Space group Cm (No. 8)
Asymmetric unit:
Ce  0.000  0.000  0.000 x2
Ce  0.108  0.500  0.892 x2
Pr  0.244  0.000  0.603 x2
Pr  0.395  0.500  0.411 x2
Pd  0.070  0.500  0.331 x2
Pd  0.294  0.000  0.065 x2

## Properties
magnetic moment = 0.0593 μB/atom
DOS(E_F) = 5.0 states/eV/f.u.
distance to the lowest polymorph of the same formula = 0.00 eV/f.u.
energy of formation = -0.39 eV per atom

No. 14
This record from Alexandria via LeMat-Bulk describes a relaxed CePrPd2 crystal. The functional is PBE-GGA.

a = 3.603 Å, b = 3.603 Å, c = 7.268 Å
α = 90.00°, β = 90.00°, γ = 90.00°
Space group P4/mmm (No. 123)
Asymmetric unit:
Ce  0.000  0.000  0.000 x1
Pr  0.000  0.000  0.500 x1
Pd  0.500  0.500  0.230 x2

## Properties
magnetic moment = 0.2360 μB/atom
DOS(E_F) = 8.3 states/eV/f.u.
distance to the lowest polymorph of the same formula = 0.00 eV/f.u.
energy of formation = -0.66 eV per atom

No. 15
This record from Alexandria via LeMat-Bulk describes a relaxed CePr2Pd crystal. The functional is PBE-GGA.

a = 3.656 Å, b = 3.656 Å, c = 8.372 Å
α = 90.00°, β = 90.00°, γ = 90.00°
Space group P4/mmm (No. 123)
Asymmetric unit:
Ce  0.000  0.000  0.000 x1
Pr  0.500  0.500  0.287 x2
Pd  0.000  0.000  0.500 x1

## Properties
magnetic moment = 0.1112 μB/atom
DOS(E_F) = 7.4 states/eV/f.u.
distance to the lowest polymorph of the same formula = 0.00 eV/f.u.
energy of formation = -0.27 eV per atom

No. 16
This record from Alexandria via LeMat-Bulk describes a relaxed CePrPd crystal. The functional is PBE-GGA.

a = 4.7952 Å, b = 4.7952 Å, c = 3.8251 Å
α = 90.00°, β = 90.00°, γ = 120.00°
Space group P3m1 (No. 156)
Asymmetric unit:
Ce  0.0000  0.0000  0.0000 x1
Pr  0.6667  0.3333  0.3721 x1
Pd  0.3333  0.6667  0.7228 x1

## Properties
magnetic moment = 0.1670 μB/atom
DOS(E_F) = 5.3 states/eV/f.u.
distance to the lowest polymorph of the same formula = 0.35 eV/f.u.
energy of formation = -0.28 eV per atom

No. 17
This record from Alexandria via LeMat-Bulk describes a relaxed CePr2Pd crystal. The functional is PBE-GGA.

a = 5.490 Å, b = 5.490 Å, c = 3.549 Å
α = 90.00°, β = 90.00°, γ = 90.00°
Space group P4/mmm (No. 123)
Asymmetric unit:
Ce  0.000  0.000  0.000 x1
Pr  0.000  0.500  0.500 x2
Pd  0.500  0.500  0.000 x1

## Properties
magnetic moment = 0.1274 μB/atom
DOS(E_F) = 7.6 states/eV/f.u.
distance to the lowest polymorph of the same formula = 0.51 eV/f.u.
energy of formation = -0.14 eV per atom

No. 18
This record from Alexandria via LeMat-Bulk describes a relaxed CePr2Pd crystal. The functional is PBE-GGA.

a = 3.6431 Å, b = 3.6431 Å, c = 32.7108 Å
α = 90.00°, β = 90.00°, γ = 120.00°
Space group R-3m (No. 166, hexagonal axes)
Asymmetric unit:
Ce  0.0000  0.0000  0.0000 x3
Pr  0.0000  0.0000  0.1038 x6
Pd  0.0000  0.0000  0.5000 x3

## Properties
magnetic moment = 0.3758 μB/atom
DOS(E_F) = 8.1 states/eV/f.u.
distance to the lowest polymorph of the same formula = 1.10 eV/f.u.
energy of formation = 0.01 eV per atom

No. 19
This record from Alexandria via LeMat-Bulk describes a relaxed CePrPd crystal. The functional is PBE-GGA.

a = 3.723 Å, b = 3.723 Å, c = 11.221 Å
α = 90.00°, β = 90.00°, γ = 90.00°
Space group I4mm (No. 107)
Asymmetric unit:
Ce  0.000  0.000  0.000 x2
Pr  0.000  0.000  0.703 x2
Pd  0.000  0.000  0.375 x2

## Properties
magnetic moment = 0.0719 μB/atom
DOS(E_F) = 4.7 states/eV/f.u.
distance to the lowest polymorph of the same formula = 0.03 eV/f.u.
energy of formation = -0.38 eV per atom

No. 20
This record from Alexandria via LeMat-Bulk describes a relaxed CePr2Pd3 crystal. The functional is PBE-GGA.

a = 13.350 Å, b = 5.959 Å, c = 8.394 Å
α = 90.00°, β = 108.38°, γ = 90.00°
Space group C2/c (No. 15)
Asymmetric unit:
Ce  0.000  0.001  0.250 x4
Pr  0.168  0.499  0.084 x8
Pd  0.000  0.499  0.750 x4
Pd  0.159  0.001  0.580 x8

## Properties
magnetic moment = 0.0916 μB/atom
DOS(E_F) = 7.9 states/eV/f.u.
energy of formation = -0.63 eV per atom

No. 21
This record from Alexandria via LeMat-Bulk describes a relaxed CePrPdPt crystal. The functional is PBE-GGA.

a = 7.217 Å, b = 7.217 Å, c = 7.217 Å
α = 90.00°, β = 90.00°, γ = 90.00°
Space group F-43m (No. 216)
Asymmetric unit:
Ce  0.000  0.000  0.000 x4
Pr  0.000  0.000  0.500 x4
Pd  0.250  0.250  0.750 x4
Pt  0.250  0.250  0.250 x4

## Properties
magnetic moment = 0.2356 μB/atom
DOS(E_F) = 8.6 states/eV/f.u.
distance to the lowest polymorph of the same formula = 0.36 eV/f.u.
energy of formation = -0.82 eV per atom

No. 22
This record from Alexandria via LeMat-Bulk describes a relaxed CePrPdPt crystal. The functional is PBE-GGA.

a = 4.624 Å, b = 3.883 Å, c = 10.868 Å
α = 90.00°, β = 90.00°, γ = 90.00°
Space group Amm2 (No. 38)
Asymmetric unit:
Ce  0.000  0.000  0.000 x2
Pr  0.500  0.000  0.272 x2
Pd  0.500  0.000  0.545 x2
Pt  0.000  0.000  0.722 x2

## Properties
magnetic moment = 0.2111 μB/atom
DOS(E_F) = 7.5 states/eV/f.u.
distance to the lowest polymorph of the same formula = 0.00 eV/f.u.
energy of formation = -0.91 eV per atom

No. 23
This record from Alexandria via LeMat-Bulk describes a relaxed CePrPdRh crystal. The functional is PBE-GGA.

a = 7.139 Å, b = 7.139 Å, c = 7.139 Å
α = 90.00°, β = 90.00°, γ = 90.00°
Space group F-43m (No. 216)
Asymmetric unit:
Ce  0.000  0.000  0.000 x4
Pr  0.000  0.000  0.500 x4
Pd  0.250  0.250  0.750 x4
Rh  0.250  0.250  0.250 x4

## Properties
magnetic moment = 0.2643 μB/atom
DOS(E_F) = 8.0 states/eV/f.u.
distance to the lowest polymorph of the same formula = 0.41 eV/f.u.
energy of formation = -0.64 eV per atom

No. 24
This record from Alexandria via LeMat-Bulk describes a relaxed CePrPdRh crystal. The functional is PBE-GGA.

a = 4.165 Å, b = 3.906 Å, c = 11.638 Å
α = 90.00°, β = 90.00°, γ = 90.00°
Space group Amm2 (No. 38)
Asymmetric unit:
Ce  0.000  0.000  0.000 x2
Pr  0.500  0.000  0.725 x2
Pd  0.000  0.000  0.290 x2
Rh  0.500  0.000  0.469 x2

## Properties
magnetic moment = 0.0807 μB/atom
DOS(E_F) = 5.5 states/eV/f.u.
distance to the lowest polymorph of the same formula = 0.00 eV/f.u.
energy of formation = -0.74 eV per atom

No. 25
This record from Alexandria via LeMat-Bulk describes a relaxed CePrPdRu crystal. The functional is PBE-GGA.

a = 7.103 Å, b = 7.103 Å, c = 7.103 Å
α = 90.00°, β = 90.00°, γ = 90.00°
Space group F-43m (No. 216)
Asymmetric unit:
Ce  0.000  0.000  0.000 x4
Pr  0.000  0.000  0.500 x4
Pd  0.250  0.250  0.750 x4
Ru  0.250  0.250  0.250 x4

## Properties
magnetic moment = 0.1283 μB/atom
DOS(E_F) = 4.7 states/eV/f.u.
energy of formation = -0.42 eV per atom

No. 26
This record from Alexandria via LeMat-Bulk describes a relaxed Ce2PrSb2Pd2 crystal. The functional is PBE-GGA.

a = 4.6660 Å, b = 4.6660 Å, c = 27.2540 Å
α = 90.00°, β = 90.00°, γ = 120.00°
Space group R-3m (No. 166, hexagonal axes)
Asymmetric unit:
Ce  0.0000  0.0000  0.1424 x6
Pr  0.0000  0.0000  0.0000 x3
Sb  0.0000  0.0000  0.2649 x6
Pd  0.0000  0.0000  0.4347 x6

## Properties
magnetic moment = 0.2746 μB/atom
energy relative to the elements, uncorrected = -0.84 eV per atom
DOS(E_F) = 12.3 states/eV/f.u.

No. 27
This record from Alexandria via LeMat-Bulk describes a relaxed CePrSi2Pd5 crystal. The functional is PBE-GGA.

a = 4.266 Å, b = 4.266 Å, c = 9.041 Å
α = 90.00°, β = 90.00°, γ = 90.00°
Space group P4/mmm (No. 123)
Asymmetric unit:
Ce  0.000  0.000  0.000 x1
Pr  0.000  0.000  0.500 x1
Si  0.500  0.500  0.131 x2
Pd  0.000  0.500  0.265 x4
Pd  0.500  0.500  0.500 x1

## Properties
magnetic moment = 0.0626 μB/atom
energy relative to the elements, uncorrected = -0.84 eV per atom
DOS(E_F) = 7.1 states/eV/f.u.